No. 1
First-principles (PBE-GGA) data for crystalline ZnPO2F at its relaxed geometry, as listed in Alexandria via LeMat-Bulk.

Output
Formation energy without anion corrections, meV/atom: 670
Calculated density, g/cm3: 3.72
Total energy, eV/atom: -3.025

Lattice parameters (Å, degrees): 4.4328 4.4328 3.3495 90.00 90.00 90.00
Last column: nearest neighbours and their distance in Å.
Fractional positions:
F  0.0000  0.0000  0.0000  2 P 1.67
P  0.0000  0.0000  0.5000  2 F 1.67
O  0.5000  0.0000  0.0000  2 F 2.22
O  0.0000  0.5000  0.0000  2 F 2.22
Zn  0.5000  0.5000  0.5000  8 O 2.78

No. 2
First-principles (PBE-GGA) data for crystalline Mn4ReTc at its relaxed geometry, as listed in Alexandria via LeMat-Bulk.

Output
Calculated density, g/cm3: 11.64
Energy of formation, eV/atom: -0.070
Total energy, eV/atom: -9.985

Lattice parameters (Å, degrees): 4.6678 4.6678 4.6678 60.00 60.00 60.00
Last column: nearest neighbours and their distance in Å.
Fractional positions:
Mn  0.6255  0.1235  0.6255  6 Mn 2.32-2.34
Mn  0.6255  0.6255  0.1235  6 Mn 2.32-2.34
Mn  0.1235  0.6255  0.6255  6 Mn 2.32-2.34
Tc  0.0000  0.0000  0.0000  12 Mn 2.74, 4 Re 2.86
Re  0.2500  0.2500  0.2500  12 Mn 2.74, 4 Tc 2.86
Mn  0.6255  0.6255  0.6255  6 Mn 2.32-2.34

No. 3
First-principles (PBE-GGA) data for crystalline ThGeO4 at its relaxed geometry, as listed in Alexandria via LeMat-Bulk.

Output
Formation energy without anion corrections, meV/atom: -2767
Offset from the most stable computed form, meV per atom: 24.0
Calculated density, g/cm3: 7.83
Total energy, eV/atom: -8.078

Lattice parameters (Å, degrees): 6.8679 6.8679 6.8679 135.60 135.60 64.60
Last column: nearest neighbours and their distance in Å.
Fractional positions:
Ge  0.0000  0.0000  0.0000  4 O 1.79
O  0.2293  0.8228  0.8946  1 Ge 1.79
O  0.0846  0.4793  0.9065  1 Ge 1.79
O  0.1772  0.0718  0.4065  1 Ge 1.79
O  0.5728  0.1782  0.0935  1 Ge 1.79
Th  0.5000  0.5000  0.0000  8 O 2.39-2.48
Th  0.2500  0.7500  0.5000  8 O 2.39-2.48
O  0.6654  0.7707  0.5935  1 Ge 1.79
O  0.8218  0.9154  0.3946  1 Ge 1.79
O  0.9282  0.3346  0.1054  1 Ge 1.79
O  0.5207  0.4272  0.6054  1 Ge 1.79
Ge  0.7500  0.2500  0.5000  4 O 1.79

No. 4
First-principles (PBE-GGA) data for crystalline Er6Ag5Pd at its relaxed geometry, as listed in Alexandria via LeMat-Bulk.

Output
Calculated density, g/cm3: 9.93
Energy of formation, eV/atom: -0.435
Total energy, eV/atom: -4.337

Lattice parameters (Å, degrees): 5.0623 7.1515 8.0315 90.00 71.63 90.00
Last column: nearest neighbours and their distance in Å.
Fractional positions:
Pd  0.0000  0.0000  0.0000  8 Er 3.05-3.07
Er  0.1627  0.2471  0.6746  1 Pd 3.05, 7 Ag 3.07-3.15
Er  0.8373  0.7529  0.3254  1 Pd 3.05, 7 Ag 3.07-3.15
Ag  0.6678  0.5000  0.6645  8 Er 3.11-3.15
Er  0.1627  0.7529  0.6746  1 Pd 3.05, 7 Ag 3.07-3.15
Ag  0.0000  0.5000  0.0000  8 Er 3.07-3.13
Er  0.5000  0.7574  0.0000  2 Pd 3.07, 6 Ag 3.13-3.15
Er  0.8373  0.2471  0.3254  1 Pd 3.05, 7 Ag 3.07-3.15
Ag  0.3322  0.5000  0.3355  8 Er 3.11-3.15
Er  0.5000  0.2426  0.0000  2 Pd 3.07, 6 Ag 3.13-3.15
Ag  0.3289  0.0000  0.3422  8 Er 3.09-3.13
Ag  0.6711  0.0000  0.6578  8 Er 3.09-3.13

No. 5
First-principles (PBE-GGA) data for crystalline Ca3Cu4 at its relaxed geometry, as listed in Alexandria via LeMat-Bulk.

Output
Offset from the most stable computed form, meV per atom: 323.8
Calculated density, g/cm3: 3.43
Energy of formation, eV/atom: 0.188
Total energy, eV/atom: -3.010

Lattice parameters (Å, degrees): 5.6581 5.6581 5.6581 90.00 90.00 90.00
Last column: nearest neighbours and their distance in Å.
Fractional positions:
Ca  0.5000  0.5000  0.0000  4 Cu 2.92
Ca  0.0000  0.5000  0.5000  4 Cu 2.92
Ca  0.5000  0.0000  0.5000  4 Cu 2.92
Cu  0.1517  0.1517  0.8483  3 Cu 2.43
Cu  0.8483  0.8483  0.8483  3 Cu 2.43
Cu  0.8483  0.1517  0.1517  3 Cu 2.43
Cu  0.1517  0.8483  0.1517  3 Cu 2.43

No. 6
First-principles (PBE-GGA) data for crystalline Cs4CaCl6 at its relaxed geometry, as listed in Alexandria via LeMat-Bulk.

Output
Formation energy without anion corrections, meV/atom: -2115
Calculated density, g/cm3: 3.04
Total energy, eV/atom: -3.615

Lattice parameters (Å, degrees): 9.4969 9.4969 9.4969 91.18 91.18 88.82
Last column: nearest neighbours and their distance in Å.
Fractional positions:
Cs  0.3817  0.1183  0.2500  8 Cl 3.59-3.71
Cs  0.6183  0.8817  0.7500  8 Cl 3.59-3.71
Cl  0.4384  0.7770  0.4272  1 Ca 2.78
Cl  0.9384  0.0728  0.7230  1 Ca 2.78
Cs  0.8817  0.2500  0.3817  8 Cl 3.59-3.71
Cs  0.2500  0.6183  0.1183  8 Cl 3.59-3.71
Cl  0.4272  0.5616  0.7770  1 Ca 2.78
Cl  0.5616  0.2230  0.5728  1 Ca 2.78
Cl  0.2770  0.9384  0.9272  1 Ca 2.78
Ca  0.0000  0.0000  0.0000  6 Cl 2.78
Cs  0.7500  0.3817  0.8817  8 Cl 3.59-3.71
Cs  0.2500  0.2500  0.7500  6 Cl 3.44
Cl  0.0728  0.2770  0.0616  1 Ca 2.78
Cl  0.2230  0.4272  0.4384  1 Ca 2.78
Cs  0.1183  0.7500  0.6183  8 Cl 3.59-3.71
Cl  0.9272  0.7230  0.9384  1 Ca 2.78
Ca  0.5000  0.5000  0.5000  6 Cl 2.78
Cl  0.5728  0.4384  0.2230  1 Ca 2.78
Cl  0.7770  0.5728  0.5616  1 Ca 2.78
Cs  0.7500  0.7500  0.2500  6 Cl 3.44
Cl  0.0616  0.9272  0.2770  1 Ca 2.78
Cl  0.7230  0.0616  0.0728  1 Ca 2.78

No. 7
First-principles (PBE-GGA) data for crystalline RbInO2 at its relaxed geometry, as listed in Alexandria via LeMat-Bulk.

Output
Formation energy without anion corrections, meV/atom: -1471
Calculated density, g/cm3: 5.48
Total energy, eV/atom: -4.876

Lattice parameters (Å, degrees): 7.5580 3.2496 5.7367 90.00 90.01 90.00
Last column: nearest neighbours and their distance in Å.
Fractional positions:
In  0.2616  0.0386  0.3950  5 O 2.17-2.23
O  0.6902  0.0386  0.9121  2 In 2.17
O  0.3239  0.0386  0.0241  3 In 2.18-2.23
O  0.4383  0.5386  0.5242  3 In 2.18-2.23
O  0.0720  0.5386  0.4119  2 In 2.17
Rb  0.0096  0.5385  0.9099  6 O 2.90-2.95
In  0.5006  0.5386  0.8951  5 O 2.17-2.23
Rb  0.7526  0.0385  0.4100  6 O 2.89-2.95

No. 8
First-principles (PBE-GGA) data for crystalline YZnCdP2 at its relaxed geometry, as listed in Alexandria via LeMat-Bulk.

Output
Calculated density, g/cm3: 4.55
Energy of formation, eV/atom: 0.353
Total energy, eV/atom: -3.541

Lattice parameters (Å, degrees): 5.0423 5.0423 4.7157 90.00 90.00 90.00
Last column: nearest neighbours and their distance in Å.
Fractional positions:
P  0.0000  0.5000  0.0000  2 Cd 2.52
Y  0.5000  0.5000  0.5000  8 P 3.45, 4 Zn 3.57
Cd  0.0000  0.0000  0.0000  2 Zn 2.36, 4 P 2.52
Zn  0.0000  0.0000  0.5000  2 Cd 2.36
P  0.5000  0.0000  0.0000  2 Cd 2.52

No. 9
First-principles (PBE-GGA) data for crystalline K3ScNb2O8 at its relaxed geometry, as listed in Alexandria via LeMat-Bulk.

Output
Formation energy without anion corrections, meV/atom: -2550
Calculated density, g/cm3: 3.28
Total energy, eV/atom: -7.509

Lattice parameters (Å, degrees): 6.0295 6.0295 7.6572 90.00 90.00 120.00
Last column: nearest neighbours and their distance in Å.
Fractional positions:
K  0.3333  0.6667  0.6743  1 O 2.53
Sc  0.0000  0.0000  0.5000  6 O 2.14
K  0.0000  0.0000  0.0000  6 O 3.08
O  0.1643  0.8357  0.3336  1 Nb 1.90
O  0.6667  0.3333  0.9953  1 Nb 1.82
O  0.8357  0.1643  0.6664  1 Nb 1.90
O  0.1643  0.3286  0.3336  1 Nb 1.90
O  0.3286  0.1643  0.6664  1 Nb 1.90
O  0.6714  0.8357  0.3336  1 Nb 1.90
K  0.6667  0.3333  0.3257  1 O 2.53
O  0.8357  0.6714  0.6664  1 Nb 1.90
Nb  0.3333  0.6667  0.2426  4 O 1.82-1.90
O  0.3333  0.6667  0.0047  1 Nb 1.82
Nb  0.6667  0.3333  0.7574  4 O 1.82-1.90

No. 10
First-principles (PBE-GGA) data for crystalline Tb4Er9In11 at its relaxed geometry, as listed in Alexandria via LeMat-Bulk.

Output
Calculated density, g/cm3: 8.85
Energy of formation, eV/atom: -0.383
Total energy, eV/atom: -4.121

Lattice parameters (Å, degrees): 3.4695 14.0561 14.0561 111.29 90.00 90.00
Last column: nearest neighbours and their distance in Å.
Fractional positions:
Er  0.5000  0.3880  0.8344  8 In 3.22-3.42, 1 Tb 3.43, 3 Er 3.47-3.53
Er  0.5000  0.5000  0.5000  4 In 3.31, 4 Tb 3.33, 2 Er 3.47
In  0.0000  0.7969  0.7969  4 Er 3.21, 3 In 3.22-3.47, 4 Tb 3.23
Tb  0.5000  0.4085  0.2456  6 In 3.23-3.37, 3 Er 3.33-3.50, 2 Tb 3.47
Er  0.5000  0.2032  0.0111  8 In 3.21-3.30, 3 Er 3.40-3.47, 1 Tb 3.50
In  0.0000  0.9582  0.5908  3 In 3.17-3.47, 6 Er 3.25-3.31, 2 Tb 3.35
In  0.0000  0.0418  0.4092  3 In 3.17-3.47, 6 Er 3.25-3.31, 2 Tb 3.35
In  0.0000  0.2031  0.2031  4 Er 3.21, 3 In 3.22-3.47, 4 Tb 3.23
In  0.0000  0.6212  0.3788  6 Er 3.31-3.42, 4 Tb 3.37, 2 In 3.47
In  0.0000  0.4092  0.0418  3 In 3.17-3.47, 6 Er 3.25-3.31, 2 Tb 3.35
Er  0.5000  0.0111  0.2032  8 In 3.21-3.30, 3 Er 3.40-3.47, 1 Tb 3.50
In  0.0000  0.8117  0.1883  8 Er 3.22-3.24, 4 In 3.47-3.58
Er  0.5000  0.9889  0.7968  8 In 3.21-3.30, 3 Er 3.40-3.47, 1 Tb 3.50
In  0.0000  0.1883  0.8117  8 Er 3.22-3.24, 4 In 3.47-3.58
In  0.0000  0.0000  0.0000  4 In 3.22-3.47, 8 Er 3.30
Er  0.5000  0.8344  0.3880  8 In 3.22-3.42, 1 Tb 3.43, 3 Er 3.47-3.53
In  0.0000  0.3788  0.6212  6 Er 3.31-3.42, 4 Tb 3.37, 2 In 3.47
Tb  0.5000  0.5915  0.7544  6 In 3.23-3.37, 3 Er 3.33-3.50, 2 Tb 3.47
Er  0.5000  0.1656  0.6120  8 In 3.22-3.42, 1 Tb 3.43, 3 Er 3.47-3.53
Tb  0.5000  0.2456  0.4085  6 In 3.23-3.37, 3 Er 3.33-3.50, 2 Tb 3.47
In  0.0000  0.5908  0.9582  3 In 3.17-3.47, 6 Er 3.25-3.31, 2 Tb 3.35
Er  0.5000  0.6120  0.1656  8 In 3.22-3.42, 1 Tb 3.43, 3 Er 3.47-3.53
Tb  0.5000  0.7544  0.5915  6 In 3.23-3.37, 3 Er 3.33-3.50, 2 Tb 3.47
Er  0.5000  0.7968  0.9889  8 In 3.21-3.30, 3 Er 3.40-3.47, 1 Tb 3.50

No. 11
First-principles (PBE-GGA) data for crystalline La2Dy2Sc at its relaxed geometry, as listed in Alexandria via LeMat-Bulk.

Output
Calculated density, g/cm3: 6.68
Energy of formation, eV/atom: 0.130
Total energy, eV/atom: -4.948

Lattice parameters (Å, degrees): 6.3073 6.3073 9.1714 109.28 106.86 95.64
Last column: nearest neighbours and their distance in Å.
Fractional positions:
Dy  0.1316  0.7613  0.9627  5 La 3.32-3.65, 2 Sc 3.46-3.53, 2 Dy 3.55-3.67
La  0.7924  0.2245  0.6557  1 La 3.30, 5 Dy 3.32-3.65, 3 Sc 3.38-3.53
Sc  0.3118  0.0618  0.7500  6 La 3.38-3.53, 4 Dy 3.46-3.53
La  0.5688  0.6367  0.8443  1 La 3.30, 5 Dy 3.32-3.65, 3 Sc 3.38-3.53
Dy  0.8684  0.2387  0.0373  5 La 3.32-3.65, 2 Sc 3.46-3.53, 2 Dy 3.55-3.67
La  0.4312  0.3633  0.1557  1 La 3.30, 5 Dy 3.32-3.65, 3 Sc 3.38-3.53
Dy  0.7986  0.6689  0.5373  5 La 3.32-3.65, 2 Sc 3.46-3.53, 2 Dy 3.55-3.67
La  0.2076  0.7755  0.3443  1 La 3.30, 5 Dy 3.32-3.65, 3 Sc 3.38-3.53
Sc  0.6882  0.9382  0.2500  6 La 3.38-3.53, 4 Dy 3.46-3.53
Dy  0.2014  0.3311  0.4627  5 La 3.32-3.65, 2 Sc 3.46-3.53, 2 Dy 3.55-3.67

No. 12
First-principles (PBE-GGA) data for crystalline La2Tm3Cd3 at its relaxed geometry, as listed in Alexandria via LeMat-Bulk.

Output
Calculated density, g/cm3: 8.22
Energy of formation, eV/atom: -0.201
Total energy, eV/atom: -3.453

Lattice parameters (Å, degrees): 3.7961 5.2601 11.8023 102.88 99.25 90.00
Last column: nearest neighbours and their distance in Å.
Fractional positions:
Cd  0.0000  0.5000  0.0000  8 Tm 3.24-3.27, 4 Cd 3.62
Tm  0.3826  0.3826  0.7651  6 Cd 3.25-3.27
Cd  0.1098  0.1098  0.2195  6 Tm 3.13-3.25, 2 La 3.32
La  0.7300  0.2300  0.4600  2 Cd 3.32, 4 La 3.37, 2 Tm 3.67
Tm  0.6174  0.6174  0.2349  6 Cd 3.25-3.27
Cd  0.8902  0.8902  0.7805  6 Tm 3.13-3.25, 2 La 3.32
La  0.2700  0.7700  0.5400  2 Cd 3.32, 4 La 3.37, 2 Tm 3.67
Tm  0.5000  0.0000  0.0000  8 Cd 3.13-3.24

| no. | N(E_F) (states/eV per cell) |
| --- | --- |
| 1 | 2.83 |
| 2 | 3.92 |
| 3 | 0.00 |
| 4 | 5.02 |
| 5 | 3.38 |
| 6 | 0.00 |
| 7 | 0.00 |
| 8 | 2.52 |
| 9 | 0.00 |
| 10 | 18.33 |
| 11 | 12.94 |
| 12 | 7.42 |